(1)
Density functional theory data (PBE) for crystalline EuGaHgAu at its relaxed geometry.

a b c (Å): 7.202 7.202 7.202
angles (deg): 90.00 90.00 90.00
Fractional coordinates of all 16 atoms:
Eu: 0.000 0.000 0.000
Eu: 0.000 0.500 0.500
Eu: 0.500 0.000 0.500
Eu: 0.500 0.500 0.000
Ga: 0.000 0.000 0.500
Ga: 0.000 0.500 0.000
Ga: 0.500 0.000 0.000
Ga: 0.500 0.500 0.500
Hg: 0.250 0.250 0.250
Hg: 0.250 0.750 0.750
Hg: 0.750 0.250 0.750
Hg: 0.750 0.750 0.250
Au: 0.250 0.250 0.750
Au: 0.250 0.750 0.250
Au: 0.750 0.250 0.250
Au: 0.750 0.750 0.750

final energy: -4.6584 eV per atom
energy of formation: -0.438 eV per atom



(2)
Density functional theory data (PBE) for crystalline EuLuGaAu at its relaxed geometry.

a b c (Å): 7.262 7.262 7.262
angles (deg): 90.00 90.00 90.00
Fractional coordinates of all 16 atoms:
Eu: 0.000 0.000 0.000
Eu: 0.000 0.500 0.500
Eu: 0.500 0.000 0.500
Eu: 0.500 0.500 0.000
Lu: 0.000 0.000 0.500
Lu: 0.000 0.500 0.000
Lu: 0.500 0.000 0.000
Lu: 0.500 0.500 0.500
Ga: 0.250 0.250 0.750
Ga: 0.250 0.750 0.250
Ga: 0.750 0.250 0.250
Ga: 0.750 0.750 0.750
Au: 0.250 0.250 0.250
Au: 0.250 0.750 0.750
Au: 0.750 0.250 0.750
Au: 0.750 0.750 0.250

final energy: -5.8912 eV per atom
energy of formation: -0.616 eV per atom



(3)
Density functional theory data (PBE) for crystalline EuMgGaAu at its relaxed geometry.

a b c (Å): 7.085 7.085 7.085
angles (deg): 90.00 90.00 90.00
Fractional coordinates of all 16 atoms:
Eu: 0.000 0.000 0.000
Eu: 0.000 0.500 0.500
Eu: 0.500 0.000 0.500
Eu: 0.500 0.500 0.000
Mg: 0.000 0.000 0.500
Mg: 0.000 0.500 0.000
Mg: 0.500 0.000 0.000
Mg: 0.500 0.500 0.500
Ga: 0.250 0.250 0.250
Ga: 0.250 0.750 0.750
Ga: 0.750 0.250 0.750
Ga: 0.750 0.750 0.250
Au: 0.250 0.250 0.750
Au: 0.250 0.750 0.250
Au: 0.750 0.250 0.250
Au: 0.750 0.750 0.750

final energy: -5.0536 eV per atom
energy of formation: -0.510 eV per atom



Copy entry 1 word for word.
Density functional theory data (PBE) for crystalline EuGaHgAu at its relaxed geometry.

a b c (Å): 7.202 7.202 7.202
angles (deg): 90.00 90.00 90.00
Fractional coordinates of all 16 atoms:
Eu: 0.000 0.000 0.000
Eu: 0.000 0.500 0.500
Eu: 0.500 0.000 0.500
Eu: 0.500 0.500 0.000
Ga: 0.000 0.000 0.500
Ga: 0.000 0.500 0.000
Ga: 0.500 0.000 0.000
Ga: 0.500 0.500 0.500
Hg: 0.250 0.250 0.250
Hg: 0.250 0.750 0.750
Hg: 0.750 0.250 0.750
Hg: 0.750 0.750 0.250
Au: 0.250 0.250 0.750
Au: 0.250 0.750 0.250
Au: 0.750 0.250 0.250
Au: 0.750 0.750 0.750

final energy: -4.6584 eV per atom
energy of formation: -0.438 eV per atom



> The lowest energy of formation belongs to which entry?

EuLuGaAu



> What is the energy of formation in the third record?

-0.510 eV per atom



> Number 1 is which compound?

EuGaHgAu